# 1
A relaxed Li5Ag2Sn crystal, computed with PBE.

space group = I4/mmm
size of the total moment = 0.000 μB per atom
total DFT energy (no corrections) = -2.6873 eV per atom

a b c (Å): 4.5621 4.5621 7.2517
angles (deg): 108.35 108.33 90.00
Last column: nearest neighbours and their distance in Å.
Fractional positions:
Li: 0.5000 0.5000 0.0000  8 Li 2.84
Li: 0.6302 0.1302 0.2605  4 Ag 2.73-2.79, 2 Li 2.84, 2 Sn 2.84
Li: 0.1302 0.6297 0.2605  4 Ag 2.73-2.79, 2 Sn 2.84, 2 Li 2.84
Li: 0.3698 0.8698 0.7395  4 Ag 2.73-2.79, 2 Li 2.84, 2 Sn 2.84
Li: 0.8698 0.3703 0.7395  4 Ag 2.73-2.79, 2 Sn 2.84, 2 Li 2.84
Ag: 0.2456 0.2455 0.4912  8 Li 2.73-2.79
Ag: 0.7544 0.7545 0.5088  8 Li 2.73-2.79
Sn: 0.0000 0.0000 0.0000  8 Li 2.84



# 2
A relaxed Li6Ag2Sn crystal, computed with PBE.

space group = R-3m
size of the total moment = 0.000 μB per atom
total DFT energy (no corrections) = -2.6185 eV per atom

a b c (Å): 5.3409 5.3466 5.3466
angles (deg): 94.70 94.67 94.67
Last column: nearest neighbours and their distance in Å.
Fractional positions:
Li: 0.1682 0.4999 0.8318  5 Li 2.61-2.82
Li: 0.8318 0.1682 0.5001  5 Li 2.61-2.82
Li: 0.8318 0.5001 0.1682  5 Li 2.61-2.82
Li: 0.5000 0.1680 0.8320  5 Li 2.61-2.82
Li: 0.1682 0.8318 0.4999  5 Li 2.61-2.82
Li: 0.5000 0.8320 0.1680  5 Li 2.61-2.82
Ag: 0.6635 0.6632 0.6632  1 Ag 2.77, 1 Sn 2.85, 12 Li 2.95-3.00
Ag: 0.3365 0.3368 0.3368  1 Ag 2.77, 1 Sn 2.85, 12 Li 2.95-3.00
Sn: 0.0000 0.0000 0.0000  2 Ag 2.85, 12 Li 2.98



# 3
A relaxed Li3Ag7Sn crystal, computed with PBE.

space group = C2/m
size of the total moment = 0.000 μB per atom
total DFT energy (no corrections) = -2.6949 eV per atom

a b c (Å): 5.4614 6.4191 6.4191
angles (deg): 97.58 103.82 103.82
Last column: nearest neighbours and their distance in Å.
Fractional positions:
Li: 0.0000 0.7696 0.2304  7 Ag 2.60-2.65
Li: 0.5000 0.0000 0.0000  6 Ag 2.72-2.81
Li: 0.0000 0.2304 0.7696  7 Ag 2.60-2.65
Ag: 0.0449 0.1777 0.1777  3 Li 2.65-2.81, 4 Ag 2.82-2.96, 1 Sn 2.95
Ag: 0.3037 0.0560 0.5873  3 Li 2.62-2.72, 1 Ag 2.84
Ag: 0.6963 0.4127 0.9440  3 Li 2.62-2.72, 1 Ag 2.84
Ag: 0.3037 0.5873 0.0560  3 Li 2.62-2.72, 1 Ag 2.84
Ag: 0.0000 0.5000 0.5000  2 Li 2.60, 2 Sn 2.73, 2 Ag 2.82
Ag: 0.6963 0.9440 0.4127  3 Li 2.62-2.72, 1 Ag 2.84
Ag: 0.9551 0.8223 0.8223  3 Li 2.65-2.81, 4 Ag 2.82-2.96, 1 Sn 2.95
Sn: 0.5000 0.5000 0.5000  8 Ag 2.73-2.97



# 4
A relaxed Li2Ag5Sn4 crystal, computed with PBE.

space group = Immm
size of the total moment = 0.000 μB per atom
total DFT energy (no corrections) = -3.0967 eV per atom

a b c (Å): 4.5494 5.8431 10.2057
angles (deg): 106.63 102.88 90.00
Last column: nearest neighbours and their distance in Å.
Fractional positions:
Li: 0.5760 0.5760 0.1519  5 Sn 2.82-3.05, 1 Li 2.89, 4 Ag 3.05
Li: 0.4240 0.4240 0.8481  5 Sn 2.82-3.05, 1 Li 2.89, 4 Ag 3.05
Ag: 0.1509 0.4038 0.3018  4 Sn 2.80-3.03, 2 Ag 2.89-2.96, 2 Li 3.05
Ag: 0.8491 0.5962 0.6982  4 Sn 2.80-3.03, 2 Ag 2.89-2.96, 2 Li 3.05
Ag: 0.1509 0.8979 0.3018  4 Sn 2.80-3.03, 2 Ag 2.89-2.96, 2 Li 3.05
Ag: 0.5000 0.0000 0.0000  4 Sn 2.73
Ag: 0.8491 0.1021 0.6982  4 Sn 2.80-3.03, 2 Ag 2.89-2.96, 2 Li 3.05
Sn: 0.7242 0.7242 0.4483  6 Ag 2.80-3.03, 1 Li 2.82
Sn: 0.0000 0.2572 0.0000  4 Ag 2.73-2.87, 2 Sn 2.84-3.01, 4 Li 3.05
Sn: 0.2758 0.2758 0.5517  6 Ag 2.80-3.03, 1 Li 2.82
Sn: 0.0000 0.7428 0.0000  4 Ag 2.73-2.87, 2 Sn 2.84-3.01, 4 Li 3.05



# 5
A relaxed Li4Ag7Sn crystal, computed with PBE.

space group = P-1
size of the total moment = 0.000 μB per atom
total DFT energy (no corrections) = -2.7945 eV per atom

a b c (Å): 5.6453 5.2380 8.3636
angles (deg): 75.82 62.74 91.78
Last column: nearest neighbours and their distance in Å.
Fractional positions:
Li: 0.4974 0.6655 0.3337  8 Ag 2.77-3.00, 3 Li 2.91-3.06, 1 Sn 2.99
Li: 0.5026 0.3345 0.6663  8 Ag 2.77-3.00, 3 Li 2.91-3.06, 1 Sn 2.99
Li: 0.7541 0.8254 0.6718  9 Ag 2.79-2.99, 3 Li 2.92-3.06
Li: 0.2459 0.1746 0.3282  9 Ag 2.79-2.99, 3 Li 2.92-3.06
Ag: 0.7450 0.5015 0.0025  7 Ag 2.79-3.09, 3 Li 2.84-2.95, 2 Sn 2.93-3.03
Ag: 0.2550 0.4985 0.9975  7 Ag 2.79-3.09, 3 Li 2.84-2.95, 2 Sn 2.93-3.03
Ag: 0.0152 0.3380 0.6537  6 Li 2.79-2.99, 5 Ag 2.79-3.07, 1 Sn 2.96
Ag: 0.9848 0.6620 0.3463  6 Li 2.79-2.99, 5 Ag 2.79-3.07, 1 Sn 2.96
Ag: 0.2620 0.8377 0.6518  6 Li 2.77-3.00, 5 Ag 2.81-3.09, 1 Sn 2.96
Ag: 0.5000 0.0000 0.0000  2 Sn 2.82, 4 Li 2.85-2.90, 6 Ag 2.94-3.07
Ag: 0.7380 0.1623 0.3482  6 Li 2.77-3.00, 5 Ag 2.81-3.09, 1 Sn 2.96
Sn: 0.0000 0.0000 0.0000  10 Ag 2.82-3.03, 2 Li 2.99



# 6
A relaxed Li12Ag6Sn crystal, computed with PBE.

space group = R-3
size of the total moment = 0.000 μB per atom
total DFT energy (no corrections) = -2.4813 eV per atom

a b c (Å): 7.0116 7.0116 7.0116
angles (deg): 90.30 90.30 90.30
Last column: nearest neighbours and their distance in Å.
Fractional positions:
Li: 0.8062 0.5278 0.4249  4 Ag 2.75-2.82, 4 Li 2.86-2.94
Li: 0.4249 0.8062 0.5278  4 Ag 2.75-2.82, 4 Li 2.86-2.94
Li: 0.5278 0.4249 0.8062  4 Ag 2.75-2.82, 4 Li 2.86-2.94
Li: 0.1938 0.4722 0.5751  4 Ag 2.75-2.82, 4 Li 2.86-2.94
Li: 0.5751 0.1938 0.4722  4 Ag 2.75-2.82, 4 Li 2.86-2.94
Li: 0.4722 0.5751 0.1938  4 Ag 2.75-2.82, 4 Li 2.86-2.94
Li: 0.0317 0.1524 0.3760  4 Ag 2.79-2.97, 5 Li 2.80-3.10, 1 Sn 2.85
Li: 0.8476 0.6240 0.9683  4 Ag 2.79-2.97, 5 Li 2.80-3.10, 1 Sn 2.85
Li: 0.6240 0.9683 0.8476  4 Ag 2.79-2.97, 5 Li 2.80-3.10, 1 Sn 2.85
Li: 0.9683 0.8476 0.6240  4 Ag 2.79-2.97, 5 Li 2.80-3.10, 1 Sn 2.85
Li: 0.1524 0.3760 0.0317  4 Ag 2.79-2.97, 5 Li 2.80-3.10, 1 Sn 2.85
Li: 0.3760 0.0317 0.1524  4 Ag 2.79-2.97, 5 Li 2.80-3.10, 1 Sn 2.85
Ag: 0.7215 0.8807 0.2799  8 Li 2.75-2.97, 1 Sn 2.90, 2 Ag 3.01
Ag: 0.7201 0.2785 0.1193  8 Li 2.75-2.97, 1 Sn 2.90, 2 Ag 3.01
Ag: 0.1193 0.7201 0.2785  8 Li 2.75-2.97, 1 Sn 2.90, 2 Ag 3.01
Ag: 0.2785 0.1193 0.7201  8 Li 2.75-2.97, 1 Sn 2.90, 2 Ag 3.01
Ag: 0.2799 0.7215 0.8807  8 Li 2.75-2.97, 1 Sn 2.90, 2 Ag 3.01
Ag: 0.8807 0.2799 0.7215  8 Li 2.75-2.97, 1 Sn 2.90, 2 Ag 3.01
Sn: 0.0000 0.0000 0.0000  6 Li 2.85, 6 Ag 2.90



# 7
A relaxed LiAg2Sn2 crystal, computed with PBE.

space group = P2_1/m
size of the total moment = 0.000 μB per atom
total DFT energy (no corrections) = -3.2569 eV per atom

a b c (Å): 4.7977 4.8069 9.5191
angles (deg): 90.00 90.51 90.00
Last column: nearest neighbours and their distance in Å.
Fractional positions:
Li: 0.2519 0.7500 0.8310  6 Ag 2.85-2.89, 1 Sn 3.11
Li: 0.7481 0.2500 0.1690  6 Ag 2.85-2.89, 1 Sn 3.11
Ag: 0.2434 0.2500 0.0004  4 Sn 2.88-2.89, 4 Li 2.88-2.89, 1 Ag 3.15
Ag: 0.7629 0.7500 0.3302  6 Sn 2.85-2.92, 2 Li 2.85, 1 Ag 3.15
Ag: 0.2371 0.2500 0.6698  6 Sn 2.85-2.92, 2 Li 2.85, 1 Ag 3.15
Ag: 0.7566 0.7500 0.9996  4 Sn 2.88-2.89, 4 Li 2.88-2.89, 1 Ag 3.15
Sn: 0.2640 0.7500 0.5042  4 Ag 2.88-2.92, 1 Li 3.11, 1 Sn 3.20
Sn: 0.7419 0.2500 0.8323  6 Ag 2.85-2.89
Sn: 0.7360 0.2500 0.4958  4 Ag 2.88-2.92, 1 Li 3.11, 1 Sn 3.20
Sn: 0.2581 0.7500 0.1677  6 Ag 2.85-2.89



# 8
A relaxed Li4Ag2Sn3 crystal, computed with PBE.

space group = C2/m
size of the total moment = 0.000 μB per atom
total DFT energy (no corrections) = -3.0860 eV per atom

a b c (Å): 4.8119 5.2208 8.8912
angles (deg): 115.49 90.00 117.44
Last column: nearest neighbours and their distance in Å.
Fractional positions:
Li: 0.6770 0.3539 0.0159  2 Ag 2.79-3.11, 2 Li 2.84, 4 Sn 2.88-3.06
Li: 0.3230 0.6461 0.9841  2 Ag 2.79-3.11, 2 Li 2.84, 4 Sn 2.88-3.06
Li: 0.9773 0.9546 0.6505  3 Ag 2.79-2.98, 1 Li 2.90, 4 Sn 2.91-3.01
Li: 0.0227 0.0454 0.3495  3 Ag 2.79-2.98, 1 Li 2.90, 4 Sn 2.91-3.01
Ag: 0.6603 0.3206 0.3211  5 Li 2.79-3.11, 4 Sn 2.89-3.10
Ag: 0.3397 0.6794 0.6789  5 Li 2.79-3.11, 4 Sn 2.89-3.10
Sn: 0.6625 0.3250 0.6705  4 Ag 2.89-3.10, 4 Li 2.91-3.01, 2 Sn 3.07-3.08
Sn: 0.0000 0.0000 0.0000  8 Li 2.88-3.06, 2 Sn 3.08
Sn: 0.3375 0.6750 0.3295  4 Ag 2.89-3.10, 4 Li 2.91-3.01, 2 Sn 3.07-3.08



# 9
A relaxed Li4Ag4Sn3 crystal, computed with PBE.

space group = P-1
size of the total moment = 0.000 μB per atom
total DFT energy (no corrections) = -3.0600 eV per atom

a b c (Å): 3.1462 4.6214 14.8390
angles (deg): 80.92 84.12 89.95
Last column: nearest neighbours and their distance in Å.
Fractional positions:
Li: 0.5565 0.5533 0.8937  4 Ag 3.04-3.06, 3 Li 3.10-3.15, 6 Sn 3.19-3.21
Li: 0.4435 0.4466 0.1063  4 Ag 3.04-3.06, 3 Li 3.10-3.15, 6 Sn 3.19-3.21
Li: 0.3179 0.8201 0.3594  6 Ag 2.82-2.93, 4 Sn 2.93-2.94, 2 Li 3.15
Li: 0.6820 0.1799 0.6406  6 Ag 2.82-2.93, 4 Sn 2.93-2.94, 2 Li 3.15
Ag: 0.0990 0.0944 0.8101  3 Sn 2.77-2.79, 6 Li 2.93-3.06
Ag: 0.2639 0.2650 0.4710  4 Li 2.82-2.93, 6 Ag 2.92-3.15, 2 Sn 2.98
Ag: 0.7360 0.7349 0.5290  4 Li 2.82-2.93, 6 Ag 2.92-3.15, 2 Sn 2.98
Ag: 0.9009 0.9056 0.1899  3 Sn 2.77-2.79, 6 Li 2.93-3.06
Sn: 0.1530 0.6492 0.7024  4 Ag 2.79-2.98, 4 Li 2.93-2.94
Sn: 0.8469 0.3508 0.2976  4 Ag 2.79-2.98, 4 Li 2.93-2.94
Sn: 0.0000 0.0000 0.0000  2 Ag 2.77



# 10
A relaxed Li3Ag4Sn2 crystal, computed with PBE.

space group = P-1
size of the total moment = 0.000 μB per atom
total DFT energy (no corrections) = -3.0537 eV per atom

a b c (Å): 4.6541 4.7025 9.8783
angles (deg): 60.68 76.28 60.71
Last column: nearest neighbours and their distance in Å.
Fractional positions:
Li: 0.6667 0.0925 0.5739  4 Ag 2.81-2.83, 2 Sn 2.92-3.14, 3 Li 2.99-3.00
Li: 0.0000 0.0000 0.0000  8 Ag 2.83-2.89
Li: 0.3333 0.9075 0.4261  4 Ag 2.81-2.83, 2 Sn 2.92-3.14, 3 Li 2.99-3.00
Ag: 0.3317 0.2360 0.0978  4 Li 2.83-2.85, 4 Sn 2.87-2.96
Ag: 0.9995 0.3349 0.6645  4 Li 2.81-2.89, 1 Ag 2.83, 3 Sn 2.84-2.86
Ag: 0.0005 0.6651 0.3355  4 Li 2.81-2.89, 1 Ag 2.83, 3 Sn 2.84-2.86
Ag: 0.6683 0.7640 0.9022  4 Li 2.83-2.85, 4 Sn 2.87-2.96
Sn: 0.6657 0.4321 0.2354  7 Ag 2.84-2.96, 3 Li 2.92-3.16
Sn: 0.3343 0.5679 0.7646  7 Ag 2.84-2.96, 3 Li 2.92-3.16